Here is a relaxed structure of CoAg2Os from the Alexandria database. Energies are from PBEsol.

## Properties
- Excess energy over the best structure of this formula in the dataset: 0.3246 eV/atom
- Spin magnetization: 2.00 μB per formula unit
- Formation enthalpy at 0 K: 0.630 eV per atom

Cell lengths 2.668, 4.536, 5.429 Å; angles 114.69, 104.23, 90.00 degrees
Fractional coordinates of all 4 atoms:
Co: 0.500 0.000 0.000
Ag: 0.237 0.237 0.474
Os: 0.000 0.500 0.000
Ag: 0.763 0.763 0.526